AlH10SO9F, relaxed, DFT PBE-GGA; M_tot = 0.10 μB/f.u.; space group = Pbca; D(E_F) = 0.000 states/eV per cell; uncorrected energy = -5.44 eV per atom
1.0
-0.537 3.342 -10.373
-10.122 -4.921 -1.061
-5.789 11.073 3.867
O H Al F S
72 80 8 8 8
direct
0.758 0.178 0.665
0.054 0.344 0.465
0.481 0.852 0.917
0.643 0.843 0.250
0.532 0.588 0.621
0.136 0.064 0.067
0.258 0.322 0.665
0.746 0.697 0.648
0.590 0.009 0.625
0.410 0.491 0.125
0.754 0.697 0.148
0.910 0.009 0.125
0.519 0.648 0.417
0.554 0.156 0.465
0.246 0.303 0.852
0.468 0.412 0.379
0.742 0.178 0.165
0.032 0.912 0.621
0.519 0.148 0.083
0.242 0.322 0.165
0.868 0.832 0.257
0.864 0.436 0.567
0.468 0.912 0.121
0.857 0.343 0.750
0.032 0.412 0.879
0.136 0.564 0.433
0.554 0.656 0.035
0.481 0.352 0.583
0.632 0.832 0.757
0.254 0.803 0.148
0.868 0.332 0.243
0.968 0.088 0.379
0.364 0.064 0.567
0.090 0.491 0.625
0.746 0.197 0.852
0.981 0.648 0.917
0.254 0.303 0.352
0.946 0.656 0.535
0.258 0.822 0.835
0.742 0.678 0.335
0.446 0.344 0.965
0.090 0.991 0.875
0.632 0.332 0.743
0.643 0.343 0.250
0.242 0.822 0.335
0.019 0.352 0.083
0.968 0.588 0.121
0.019 0.852 0.417
0.946 0.156 0.965
0.054 0.844 0.035
0.368 0.668 0.257
0.364 0.564 0.933
0.754 0.197 0.352
0.446 0.844 0.535
0.357 0.157 0.750
0.864 0.936 0.933
0.410 0.991 0.375
0.132 0.668 0.757
0.246 0.803 0.648
0.357 0.657 0.750
0.368 0.168 0.243
0.910 0.509 0.375
0.143 0.157 0.250
0.590 0.509 0.875
0.132 0.168 0.743
0.636 0.436 0.067
0.143 0.657 0.250
0.758 0.678 0.835
0.857 0.843 0.750
0.532 0.088 0.879
0.636 0.936 0.433
0.981 0.148 0.583
0.606 0.440 0.829
0.863 0.907 0.861
0.466 0.620 0.666
0.279 0.054 0.538
0.534 0.880 0.166
0.894 0.440 0.329
0.897 0.159 0.613
0.137 0.093 0.139
0.637 0.907 0.361
0.654 0.071 0.639
0.154 0.929 0.861
0.894 0.940 0.171
0.026 0.272 0.503
0.034 0.620 0.166
0.459 0.655 0.358
0.221 0.554 0.462
0.137 0.593 0.361
0.603 0.659 0.387
0.103 0.841 0.387
0.637 0.407 0.139
0.129 0.826 0.076
0.221 0.054 0.038
0.606 0.940 0.671
0.541 0.345 0.642
0.103 0.341 0.113
0.846 0.071 0.139
0.394 0.560 0.171
0.612 0.630 0.632
0.974 0.728 0.497
0.721 0.446 0.038
0.966 0.380 0.834
0.041 0.155 0.642
0.612 0.130 0.868
0.397 0.341 0.613
0.129 0.326 0.424
0.474 0.772 0.497
0.534 0.380 0.334
0.106 0.560 0.671
0.888 0.130 0.368
0.363 0.593 0.861
0.629 0.674 0.076
0.959 0.345 0.142
0.974 0.228 0.003
0.154 0.429 0.639
0.394 0.060 0.329
0.459 0.155 0.142
0.026 0.772 0.997
0.863 0.407 0.639
0.721 0.946 0.462
0.526 0.228 0.503
0.871 0.174 0.924
0.034 0.120 0.334
0.106 0.060 0.829
0.371 0.326 0.924
0.603 0.159 0.113
0.388 0.370 0.368
0.654 0.571 0.861
0.371 0.826 0.576
0.779 0.946 0.962
0.779 0.446 0.538
0.112 0.370 0.868
0.474 0.272 0.003
0.966 0.880 0.666
0.397 0.841 0.887
0.346 0.929 0.361
0.279 0.554 0.962
0.897 0.659 0.887
0.041 0.655 0.858
0.871 0.674 0.576
0.888 0.630 0.132
0.959 0.845 0.358
0.112 0.870 0.632
0.388 0.870 0.132
0.629 0.174 0.424
0.541 0.845 0.858
0.346 0.429 0.139
0.466 0.120 0.834
0.526 0.728 0.997
0.363 0.093 0.639
0.846 0.571 0.361
0.500 0.500 0.000
0.000 0.500 0.500
0.500 0.500 0.500
0.000 0.500 0.000
0.000 0.000 0.000
0.500 0.000 0.000
0.000 0.000 0.500
0.500 0.000 0.500
0.342 0.529 0.513
0.842 0.971 0.513
0.158 0.029 0.487
0.158 0.529 0.013
0.342 0.029 0.987
0.658 0.971 0.013
0.658 0.471 0.487
0.842 0.471 0.987
0.751 0.262 0.253
0.249 0.238 0.753
0.749 0.762 0.747
0.251 0.238 0.253
0.751 0.762 0.247
0.749 0.262 0.753
0.249 0.738 0.747
0.251 0.738 0.247

AlZnH10O7F5, relaxed, DFT PBE-GGA; M_tot = 2.00 μB/f.u.; space group = P-1; uncorrected energy = -4.93 eV per atom
1.0
-2.897 3.505 -4.439
-6.386 -5.743 0.968
-1.217 5.930 7.272
O H F Al Zn
14 20 10 2 2
direct
0.329 0.048 0.082
0.644 0.405 0.796
0.022 0.750 0.949
0.069 0.014 0.791
0.714 0.379 0.372
0.931 0.986 0.209
0.710 0.492 0.720
0.356 0.595 0.204
0.055 0.309 0.567
0.290 0.508 0.280
0.978 0.250 0.051
0.945 0.691 0.433
0.286 0.621 0.628
0.671 0.952 0.918
0.592 0.859 0.941
0.312 0.614 0.731
0.194 0.261 0.564
0.408 0.141 0.059
0.938 0.226 0.575
0.396 0.048 0.183
0.060 0.305 0.990
0.805 0.009 0.256
0.665 0.264 0.369
0.940 0.695 0.010
0.168 0.723 0.958
0.688 0.386 0.269
0.062 0.774 0.425
0.806 0.739 0.436
0.043 0.964 0.283
0.832 0.277 0.042
0.335 0.736 0.631
0.957 0.036 0.717
0.195 0.991 0.744
0.604 0.952 0.817
0.753 0.602 0.081
0.234 0.906 0.393
0.766 0.094 0.607
0.422 0.930 0.662
0.396 0.186 0.561
0.247 0.398 0.919
0.433 0.667 0.932
0.578 0.070 0.338
0.567 0.333 0.068
0.604 0.814 0.439
0.500 0.500 0.000
0.500 0.000 0.500
0.000 0.500 0.500
0.000 0.000 0.000

AlH2PbF8, relaxed, DFT PBE-GGA; M_tot = 1.04 μB/f.u.; space group = C2/m; D(E_F) = 2.530 states/eV per cell; uncorrected energy = -4.65 eV per atom
1.0
4.273 1.000 0.004
0.830 4.302 0.004
0.016 0.017 7.763
Al Pb F H
1 1 8 2
direct
0.000 0.000 0.000
0.000 0.000 0.500
0.742 0.259 0.813
0.259 0.742 0.813
0.258 0.741 0.187
0.764 0.764 0.000
0.741 0.258 0.187
0.678 0.678 0.498
0.236 0.236 0.000
0.322 0.322 0.502
0.501 0.501 0.817
0.499 0.499 0.183

AlHPb2F, relaxed, DFT PBE-GGA; M_tot = 0.00 μB/f.u.; space group = P4/mmm; D(E_F) = 1.187 states/eV per cell; uncorrected energy = -3.54 eV per atom
1.0
-4.892 1.069 -2.366
-2.467 -0.340 4.947
0.493 3.300 0.472
Pb F H Al
2 1 1 1
direct
0.500 0.000 0.000
0.000 0.500 0.000
0.500 0.500 0.500
0.000 0.000 0.500
0.000 0.000 0.000

Al2ReHF, relaxed, DFT PBE-GGA; M_tot = 0.00 μB/f.u.; space group = P4/mmm; D(E_F) = 3.009 states/eV per cell; uncorrected energy = -5.06 eV per atom
1.0
-2.747 -3.566 0.435
1.018 -0.427 2.923
-3.276 2.712 1.537
F Al H Re
1 2 1 1
direct
0.500 0.500 0.500
0.500 0.000 0.000
0.000 0.000 0.500
0.000 0.000 0.000
0.000 0.500 0.000

AlH2SF, relaxed, DFT PBE-GGA; M_tot = 0.00 μB/f.u.; space group = P4/mmm; D(E_F) = 1.658 states/eV per cell; uncorrected energy = -3.45 eV per atom
1.0
3.406 0.000 0.000
0.000 4.814 0.000
0.000 0.000 3.406
Al H F S
1 2 1 1
direct
0.000 0.000 0.000
0.000 0.000 0.500
0.500 0.000 0.000
0.500 0.500 0.500
0.000 0.500 0.000

AlSbHF2, relaxed, DFT PBE-GGA; M_tot = 0.00 μB/f.u.; space group = P4/mmm; D(E_F) = 2.483 states/eV per cell; uncorrected energy = -3.53 eV per atom
1.0
-2.913 3.101 -0.814
-1.450 -0.477 3.372
2.721 2.973 1.590
F Sb Al H
2 1 1 1
direct
0.000 0.000 0.500
0.500 0.000 0.000
0.000 0.500 0.000
0.500 0.500 0.500
0.000 0.000 0.000

ScAl2HF, relaxed, DFT PBE-GGA; M_tot = 0.00 μB/f.u.; space group = P4/mmm; D(E_F) = 2.908 states/eV per cell; uncorrected energy = -4.32 eV per atom
1.0
-0.568 -3.534 -0.819
5.314 -0.710 -0.624
0.301 -0.872 3.555
Al H Sc F
2 1 1 1
direct
0.000 0.000 0.500
0.500 0.000 0.000
0.000 0.000 0.000
0.500 0.500 0.500
0.000 0.500 0.000